## Ba3Fe2PbO9 (PBE+U)

Data for a geometry-optimized Ba3Fe2PbO9 structure.

Calculated density in g/cm3: 6.84
Raw total energy in eV/f.u.: -91.85
Space-group type: P-3m1, No. 164

Cell and atoms, written as POSCAR:
```
Ba3Fe2PbO9
1.0
-3.449 3.337 -3.340
-0.917 -5.767 0.303
-4.422 0.995 5.559
Ba Fe Pb O
3 2 1 9
direct
0.333 0.667 0.673
0.000 0.000 0.000
0.667 0.333 0.327
0.333 0.667 0.159
0.667 0.333 0.841
0.000 0.000 0.500
0.826 0.174 0.678
0.826 0.652 0.678
0.348 0.174 0.678
0.652 0.826 0.322
0.174 0.348 0.322
0.174 0.826 0.322
0.500 0.000 0.000
0.000 0.500 0.000
0.500 0.500 0.000
```